NiSn: optimized geometry, PBE.

Output
Magnetic moment = 0.00 μB/cell
Symmetry = No. 87
Formation energy from the elements = -27 meV per atom

The structure in CIF format:
```
data_NiSn
_cell_length_a 6.533
_cell_length_b 6.533
_cell_length_c 6.533
_cell_angle_alpha 95.61
_cell_angle_beta 95.61
_cell_angle_gamma 143.58
_symmetry_space_group_name_H-M 'P 1'
_symmetry_Int_Tables_number 1
_symmetry_space_group_name_Hall 'P 1'
loop_
_atom_site_label
_atom_site_fract_x
_atom_site_fract_y
_atom_site_fract_z
Ni1 0.093 0.602 0.695
Ni2 0.398 0.093 0.490
Ni3 0.602 0.907 0.510
Ni4 0.907 0.398 0.305
Sn1 0.280 0.378 0.658
Sn2 0.378 0.720 0.099
Sn3 0.622 0.280 0.901
Sn4 0.720 0.622 0.342
```